(1)
Sr2HoH12Rh3 GGA-PBE relaxed; space-group type = No. 166
1.0
6.100 -0.376 -0.267
2.686 5.490 -0.267
2.686 1.563 5.270
H Rh Sr Ho
12 3 2 1
direct
0.900 0.285 0.285
0.129 0.129 0.599
0.100 0.715 0.715
0.401 0.871 0.871
0.599 0.129 0.129
0.871 0.871 0.401
0.285 0.285 0.900
0.715 0.715 0.100
0.871 0.401 0.871
0.285 0.900 0.285
0.715 0.100 0.715
0.129 0.599 0.129
0.000 0.500 0.000
0.500 0.000 0.000
0.000 0.000 0.500
0.382 0.382 0.382
0.618 0.618 0.618
0.000 0.000 0.000


(2)
UAsCl GGA-PBE relaxed; excess energy over the best structure of this formula in the dataset = 0.00 eV per formula unit; formation energy from raw total energies = -2.2 eV/f.u.; space-group type = No. 12
1.0
3.927 0.000 0.000
0.000 8.189 -0.361
-1.963 -2.714 4.575
U As Cl
2 2 2
direct
0.843 0.789 0.685
0.157 0.211 0.315
0.869 0.461 0.737
0.131 0.539 0.263
0.591 0.898 0.183
0.409 0.102 0.817


(3)
Na2HfSc GGA-PBE relaxed; excess energy over the best structure of this formula in the dataset = 0.00 eV per formula unit; space-group type = No. 225; E_form = 884 meV/atom
1.0
4.715 -1.602 1.674
1.296 0.495 5.067
0.399 -4.267 3.039
Na Hf Sc
2 1 1
direct
0.750 0.750 0.750
0.250 0.250 0.250
0.500 0.500 0.500
0.000 0.000 0.000


(4)
LaCdIn2Ir GGA-PBE relaxed; space-group type = No. 123; E_form = -333 meV/atom
1.0
-0.972 -1.623 -4.885
-2.500 -4.197 1.892
-4.626 2.757 0.004
Cd In La Ir
1 2 1 1
direct
0.500 0.500 0.500
0.000 0.500 0.000
0.500 0.000 0.000
0.000 0.000 0.500
0.000 0.000 0.000


(5)
Tb3CuSi2 GGA-PBE relaxed; formation energy from raw total energies = -3.8 eV/f.u.; space-group type = No. 62
1.0
4.182 0.000 0.000
0.000 11.422 0.000
0.000 0.000 11.328
Tb Si Cu
12 8 4
direct
0.250 0.804 0.707
0.750 0.937 0.121
0.250 0.063 0.879
0.750 0.563 0.621
0.250 0.696 0.207
0.250 0.379 0.060
0.250 0.121 0.560
0.750 0.304 0.793
0.750 0.621 0.940
0.250 0.437 0.379
0.750 0.196 0.293
0.750 0.879 0.440
0.750 0.315 0.526
0.750 0.994 0.693
0.250 0.815 0.974
0.250 0.494 0.807
0.750 0.185 0.026
0.250 0.006 0.307
0.750 0.506 0.193
0.250 0.685 0.474
0.750 0.636 0.368
0.750 0.864 0.868
0.250 0.364 0.632
0.250 0.136 0.132


(6)
VFeRuRh GGA-PBE relaxed; space-group type = No. 216; E_form = -132 meV/atom
1.0
4.246 0.000 0.000
2.123 3.677 0.000
2.123 1.226 3.467
Rh V Ru Fe
1 1 1 1
direct
0.250 0.250 0.250
0.000 0.000 0.000
0.750 0.750 0.750
0.500 0.500 0.500


Number 1: calculated total energy -78.19 eV for the cell shown, total magnetic moment 0.00 Bohr magnetons per cell. Number 2: calculated total energy -39.92 eV for the cell shown, total magnetic moment 5.75 Bohr magnetons per cell. Number 3: calculated total energy -15.39 eV for the cell shown, total magnetic moment 1.41 Bohr magnetons per cell. Number 4: calculated total energy -21.84 eV for the cell shown, total magnetic moment 0.00 Bohr magnetons per cell. Number 5: calculated total energy -130.73 eV for the cell shown, total magnetic moment 0.00 Bohr magnetons per cell. Number 6: calculated total energy -34.74 eV for the cell shown, total magnetic moment 3.93 Bohr magnetons per cell.